i:
Below is crystalline Sr2Fe2N at its relaxed geometry, with properties calculated at the GGA-PBE level.

a b c (Å): 5.9183 5.9183 6.3183
angles (deg): 90.00 90.00 90.00
Space group I4/mmm (No. 139)
Unique sites:
1 Sr 0.0000 0.5000 0.2500
2 Fe 0.0000 0.0000 0.2100
3 N 0.0000 0.0000 0.5000

---

ii:
Below is crystalline Sr2Fe2N at its relaxed geometry, with properties calculated at the GGA-PBE level.

a b c (Å): 5.5645 5.5645 5.2812
angles (deg): 90.00 90.00 90.00
Space group P4/mbm (No. 127)
Unique sites:
1 Sr 0.1808 0.3192 0.0000
2 Fe 0.2070 0.7070 0.5000
3 N 0.0000 0.0000 0.5000

---

Going by the energies, i is most stable and the next is 356 meV per atom up.

---

i:
Below is crystalline SrFeTe2N at its relaxed geometry, with properties calculated at the GGA-PBE level.

a b c (Å): 6.1676 6.1676 4.7524
angles (deg): 90.00 90.00 90.00
Space group P4/mmm (No. 123)
Unique sites:
1 Sr 0.0000 0.0000 0.0000
2 Fe 0.5000 0.5000 0.5000
3 Te 0.0000 0.5000 0.0000
4 N 0.0000 0.0000 0.5000

---

ii:
Below is crystalline SrFeTe2N at its relaxed geometry, with properties calculated at the GGA-PBE level.

a b c (Å): 5.6187 5.6187 3.5146
angles (deg): 90.00 90.00 90.00
Space group P4/mmm (No. 123)
Unique sites:
1 Sr 0.0000 0.0000 0.0000
2 Fe 0.5000 0.5000 0.5000
3 Te 0.0000 0.5000 0.5000
4 N 0.5000 0.5000 0.0000

---

Going by the energies, ii is most stable and the next is 1576 meV per atom up.

---

i:
Below is crystalline SrFeTeN2 at its relaxed geometry, with properties calculated at the GGA-PBE level.

a b c (Å): 4.1876 4.1876 5.1873
angles (deg): 90.00 90.00 90.00
Space group P4/mmm (No. 123)
Unique sites:
1 Sr 0.0000 0.0000 0.0000
2 Fe 0.5000 0.5000 0.5000
3 Te 0.5000 0.5000 0.0000
4 N 0.0000 0.5000 0.5000

---

ii:
Below is crystalline SrFeTeN2 at its relaxed geometry, with properties calculated at the GGA-PBE level.

a b c (Å): 4.7344 4.7344 6.7978
angles (deg): 90.00 90.00 90.00
Space group P4/mmm (No. 123)
Unique sites:
1 Sr 0.0000 0.0000 0.0000
2 Fe 0.5000 0.5000 0.5000
3 Te 0.0000 0.0000 0.5000
4 N 0.0000 0.5000 0.0000

---

Going by the energies, i is most stable and the next is 1161 meV per atom up.